1.
## NaSrTa (PBE)

Data for NaSrTa after structural relaxation.

a b c (Å): 3.6424 3.6424 14.9018
angles (deg): 90.00 90.00 90.00
Last column: nearest neighbours and their distance in Å.
Space group P4/nmm (No. 129, origin choice 2)
Asymmetric unit:
1 Na 0.2500 0.2500 0.0940 x2  8 Na 3.64-3.81, 4 Sr 4.08
2 Sr 0.2500 0.2500 0.6938 x2  5 Ta 3.39-3.51, 4 Sr 3.64
3 Ta 0.2500 0.2500 0.4662 x2  4 Ta 2.77

**Density**: 4.90 g cm⁻³
**Crystal system**: tetragonal
**Final energy**: -4.6321 eV/atom
**DFT formation energy**: 0.319 eV per atom
**D(E_F)**: 0.72 states/eV per atom

2.
## NaSrTa (PBE)

Data for NaSrTa after structural relaxation.

a b c (Å): 3.4627 6.0905 18.3760
angles (deg): 90.00 90.00 90.00
Last column: nearest neighbours and their distance in Å.
Space group Amm2 (No. 38)
Asymmetric unit:
1 Na 0.0000 0.0000 0.0000 x2  2 Ta 3.33, 2 Na 3.46
2 Na 0.5000 0.0000 0.1934 x2  2 Na 3.46, 4 Sr 3.59-3.65, 4 Ta 3.62
3 Sr 0.0000 0.0000 0.3644 x2  2 Sr 3.46, 6 Ta 3.52-3.78, 2 Na 3.59
4 Sr 0.5000 0.0000 0.5843 x2  2 Ta 3.38, 2 Sr 3.46, 2 Na 3.65
5 Ta 0.0000 0.0000 0.7426 x2  2 Ta 2.56
6 Ta 0.5000 0.0000 0.8453 x2  2 Ta 2.56

**Density**: 5.00 g cm⁻³
**Crystal system**: orthorhombic
**Final energy**: -4.2423 eV/atom
**DFT formation energy**: 0.709 eV per atom
**D(E_F)**: 0.82 states/eV per atom

3.
## NaSrTa (PBE)

Data for NaSrTa after structural relaxation.

a b c (Å): 7.7282 4.9050 11.4564
angles (deg): 90.00 97.11 90.00
Last column: nearest neighbours and their distance in Å.
Space group Cm (No. 8)
Asymmetric unit:
1 Na 0.0000 0.0000 0.0000 x2  6 Ta 3.01-3.20, 2 Sr 3.23
2 Na 0.2210 0.5000 0.5754 x2  6 Sr 3.86-4.21
3 Sr 0.0550 0.0000 0.3266 x2  6 Ta 3.35-3.52, 1 Na 3.71
4 Sr 0.3685 0.0000 0.8281 x2  2 Na 3.23, 1 Ta 3.59
5 Ta 0.1868 0.5000 0.1361 x2  3 Ta 2.56-2.78
6 Ta 0.3565 0.0000 0.1401 x2  3 Ta 2.56-2.78

**Density**: 4.49 g cm⁻³
**Crystal system**: monoclinic
**Final energy**: -4.2350 eV/atom
**DFT formation energy**: 0.716 eV per atom
**D(E_F)**: 0.95 states/eV per atom

4.
## NaSrTa (PBE)

Data for NaSrTa after structural relaxation.

a b c (Å): 3.4419 6.9896 8.5309
angles (deg): 68.61 78.50 75.79
Last column: nearest neighbours and their distance in Å.
Space group P1 (No. 1)
Asymmetric unit:
1 Na 0.0000 0.0000 0.0000 x1  2 Na 3.04-3.05
2 Na 0.3112 0.1264 0.2498 x1  2 Na 3.04-3.05, 2 Ta 3.27
3 Sr 0.0113 0.5431 0.4223 x1  2 Sr 3.44, 2 Na 3.57-3.84, 4 Ta 3.61-3.74
4 Sr 0.6967 0.9439 0.6593 x1  3 Ta 3.38-3.51, 2 Sr 3.44, 4 Na 3.45-3.67
5 Ta 0.3543 0.4671 0.8187 x1  2 Ta 2.60-2.61
6 Ta 0.7158 0.5365 0.0277 x1  2 Ta 2.60-2.61

**Density**: 5.27 g cm⁻³
**Crystal system**: triclinic
**Final energy**: -4.2310 eV/atom
**DFT formation energy**: 0.720 eV per atom
**D(E_F)**: 1.00 states/eV per atom

5.
## Na3SrTa (PBE)

Data for Na3SrTa after structural relaxation.

a b c (Å): 5.9560 5.9560 5.9560
angles (deg): 90.00 90.00 90.00
Last column: nearest neighbours and their distance in Å.
Space group Pm-3m (No. 221)
Asymmetric unit:
1 Na 0.0000 0.0000 0.5000 x3  2 Sr 2.98
2 Sr 0.0000 0.0000 0.0000 x1  6 Na 2.98
3 Ta 0.5000 0.5000 0.5000 x1  12 Na 4.21

**Density**: 2.65 g cm⁻³
**Crystal system**: cubic
**Final energy**: -1.6820 eV/atom
**DFT formation energy**: 1.816 eV per atom
**D(E_F)**: 0.78 states/eV per atom

6.
## NaSrTa (PBE)

Data for NaSrTa after structural relaxation.

a b c (Å): 7.8913 7.8913 7.8913
angles (deg): 90.00 90.00 90.00
Last column: nearest neighbours and their distance in Å.
Space group F-43m (No. 216)
Asymmetric unit:
1 Na 0.0000 0.0000 0.0000 x4  4 Sr 3.42
2 Sr 0.2500 0.2500 0.2500 x4  4 Ta 3.42, 4 Na 3.42
3 Ta 0.0000 0.0000 0.5000 x4  4 Sr 3.42

**Density**: 3.94 g cm⁻³
**Crystal system**: cubic
**Final energy**: -3.0865 eV/atom
**DFT formation energy**: 1.865 eV per atom
**D(E_F)**: 1.64 states/eV per atom